1.
The following is a DFT calculation (PBE) of a relaxed Cs4TlSbCl12 crystal.

Results
Raw formation energy: -1.3402 eV per atom
DFT total energy: -3.121 eV per atom
Crystal system: tetragonal
Size of the total moment: 0.00 μB/f.u.

Geometry as POSCAR:
```
Cs4TlSbCl12
1.0
7.591 0.000 0.000
0.000 7.591 0.000
0.000 0.000 11.018
Cs Tl Sb Cl
4 1 1 12
direct
0.000 0.500 0.218 Cs
0.000 0.500 0.782 Cs
0.500 0.000 0.218 Cs
0.500 0.000 0.782 Cs
0.000 0.000 0.000 Tl
0.500 0.500 0.500 Sb
0.000 0.000 0.238 Cl
0.000 0.000 0.762 Cl
0.246 0.246 0.000 Cl
0.246 0.754 0.000 Cl
0.275 0.275 0.500 Cl
0.275 0.725 0.500 Cl
0.500 0.500 0.280 Cl
0.500 0.500 0.720 Cl
0.725 0.275 0.500 Cl
0.725 0.725 0.500 Cl
0.754 0.246 0.000 Cl
0.754 0.754 0.000 Cl
```


2.
The following is a DFT calculation (PBE) of a relaxed CuAs2W crystal.

Results
Calculated formation energy: 0.340 eV/atom
DFT total energy: -6.247 eV per atom
Crystal system: orthorhombic
Relative energy among the computed polymorphs: 207 meV/atom
DOS(E_F): 0.398 states/eV per atom
Size of the total moment: 0.00 μB/f.u.

Geometry as POSCAR:
```
CuAs2W
1.0
3.554 0.000 0.000
0.000 4.581 0.000
0.000 0.000 7.520
Cu As W
2 4 2
direct
0.000 0.000 0.000 Cu
0.500 0.500 0.500 Cu
0.000 0.500 0.275 As
0.000 0.500 0.725 As
0.500 0.000 0.225 As
0.500 0.000 0.775 As
0.000 0.000 0.500 W
0.500 0.500 0.000 W
```